1.
The following is a DFT calculation (meta-GGA SCAN) of a PBEsol-optimized structure of TaCd2Tc.

Output
relative energy among the computed polymorphs = 0.00 kcal/mol of atoms
total energy = -161.45 eV per cell
energy of formation from the pure elements = 1.02 eV/f.u.

Cell: 3.4328 4.2452 4.7233 Å, 90.00 90.00 90.00°
Last column: nearest neighbours and their distance in Å.
Positions (direct):
Ta: 0.5000 0.0000 0.5000  4 Tc 2.73, 4 Cd 2.92
Tc: 0.0000 0.5000 0.5000  4 Ta 2.73, 4 Cd 2.92
Cd: 0.0000 0.0000 0.0000  4 Cd 2.73, 4 Ta 2.92
Cd: 0.5000 0.5000 0.0000  4 Cd 2.73, 4 Tc 2.92

2.
The following is a DFT calculation (meta-GGA SCAN) of a PBEsol-optimized structure of TaCd2Tc.

Output
relative energy among the computed polymorphs = 1.03 kcal/mol of atoms
total energy = -161.27 eV per cell
energy of formation from the pure elements = 1.20 eV/f.u.

Cell: 2.7502 4.9563 5.3305 Å, 95.55 90.00 106.11°
Last column: nearest neighbours and their distance in Å.
Positions (direct):
Ta: 0.5006 0.0013 0.5272  3 Tc 2.67-2.87, 2 Ta 2.75, 3 Cd 2.93-2.95
Cd: 0.7493 0.4985 0.2378  5 Cd 2.75-2.92, 4 Tc 2.93-3.07, 3 Ta 2.95-3.04
Cd: 0.9968 0.9936 0.0119  5 Cd 2.75-2.92, 4 Ta 2.93-3.07, 3 Tc 2.99-3.02
Tc: 0.2533 0.5066 0.7231  3 Ta 2.67-2.87, 2 Tc 2.75, 4 Cd 2.93-2.99

3.
The following is a DFT calculation (meta-GGA SCAN) of a PBEsol-optimized structure of TaCd2Tc.

Output
relative energy among the computed polymorphs = 3.83 kcal/mol of atoms
total energy = -160.79 eV per cell
energy of formation from the pure elements = 1.68 eV/f.u.

Cell: 2.7734 2.7734 8.9655 Å, 90.00 90.00 90.00°
Last column: nearest neighbours and their distance in Å.
Positions (direct):
Cd: 0.0000 0.0000 0.7405  4 Cd 2.77, 4 Tc 2.91, 4 Ta 3.04
Cd: 0.0000 0.0000 0.2595  4 Cd 2.77, 4 Tc 2.91, 4 Ta 3.04
Tc: 0.5000 0.5000 0.5000  4 Tc 2.77, 8 Cd 2.91
Ta: 0.5000 0.5000 0.0000  4 Ta 2.77, 8 Cd 3.04

4.
The following is a DFT calculation (meta-GGA SCAN) of a PBEsol-optimized structure of Ta2CdTe.

Output
relative energy among the computed polymorphs = 0.00 kcal/mol of atoms
raw formation energy = 0.370 eV/atom
total energy = -199.35 eV per cell

Cell: 3.4322 4.7658 5.5730 Å, 115.31 107.93 90.00°
Last column: nearest neighbours and their distance in Å.
Positions (direct):
Cd: 0.7483 0.2483 0.4965  8 Ta 2.94-3.26, 4 Te 3.06-3.25
Ta: 0.2521 0.7521 0.5042  2 Ta 2.79, 2 Te 2.82, 4 Cd 2.94
Ta: 0.9839 0.9839 0.9678  2 Ta 2.79, 4 Te 2.95, 2 Cd 3.04
Te: 0.5157 0.5157 0.0315  6 Ta 2.82-2.95, 2 Cd 3.06

5.
The following is a DFT calculation (meta-GGA SCAN) of a PBEsol-optimized structure of Ta2CdTe.

Output
relative energy among the computed polymorphs = 1.61 kcal/mol of atoms
raw formation energy = 0.440 eV/atom
total energy = -199.07 eV per cell

Cell: 3.4437 4.6270 4.8590 Å, 90.00 90.00 90.00°
Last column: nearest neighbours and their distance in Å.
Positions (direct):
Ta: 0.5000 0.0000 0.5000  4 Cd 2.88, 4 Ta 2.98
Ta: 0.0000 0.0000 0.0000  4 Te 2.88, 4 Ta 2.98
Te: 0.5000 0.5000 0.0000  4 Ta 2.88, 4 Cd 2.98
Cd: 0.0000 0.5000 0.5000  4 Ta 2.88, 4 Te 2.98

6.
The following is a DFT calculation (meta-GGA SCAN) of a PBEsol-optimized structure of Ta2CdTe.

Output
relative energy among the computed polymorphs = 6.89 kcal/mol of atoms
raw formation energy = 0.669 eV/atom
total energy = -198.16 eV per cell

Cell: 4.8141 4.8141 4.8141 Å, 60.00 60.00 60.00°
Last column: nearest neighbours and their distance in Å.
Positions (direct):
Cd: 0.5000 0.5000 0.5000  4 Ta 2.95, 4 Te 2.95
Te: 0.2500 0.2500 0.2500  4 Ta 2.95, 4 Cd 2.95
Ta: 0.0000 0.0000 0.0000  4 Te 2.95, 4 Ta 2.95
Ta: 0.7500 0.7500 0.7500  4 Ta 2.95, 4 Cd 2.95

7.
The following is a DFT calculation (meta-GGA SCAN) of a PBEsol-optimized structure of Ta2CdTe.

Output
relative energy among the computed polymorphs = 0.61 kcal/mol of atoms
raw formation energy = 0.397 eV/atom
total energy = -199.25 eV per cell

Cell: 3.3004 4.9992 5.0539 Å, 98.16 109.06 90.00°
Last column: nearest neighbours and their distance in Å.
Positions (direct):
Te: 0.0000 0.5000 0.0000  6 Ta 2.87-3.04, 4 Cd 3.00
Ta: 0.7513 0.7585 0.5027  3 Cd 2.85-2.99, 3 Te 2.87-3.04, 4 Ta 2.93-3.06
Ta: 0.2487 0.2415 0.4973  3 Cd 2.85-2.99, 3 Te 2.87-3.04, 4 Ta 2.93-3.06
Cd: 0.5000 0.0000 0.0000  6 Ta 2.85-2.99, 4 Te 3.00

8.
The following is a DFT calculation (meta-GGA SCAN) of a PBEsol-optimized structure of Ta2CdTe.

Output
relative energy among the computed polymorphs = 1.02 kcal/mol of atoms
raw formation energy = 0.414 eV/atom
total energy = -199.17 eV per cell

Cell: 3.4126 4.8977 5.5016 Å, 116.43 108.07 90.00°
Last column: nearest neighbours and their distance in Å.
Positions (direct):
Ta: 0.7576 0.7576 0.5151  2 Te 2.82, 2 Cd 2.93, 4 Ta 2.99
Ta: 0.2424 0.2424 0.4849  2 Te 2.82, 2 Cd 2.93, 4 Ta 2.99
Cd: 0.0000 0.5000 0.0000  4 Ta 2.93, 4 Te 2.98
Te: 0.5000 0.0000 0.0000  4 Ta 2.82, 4 Cd 2.98

9.
The following is a DFT calculation (meta-GGA SCAN) of a PBEsol-optimized structure of Ta2CdTe.

Output
relative energy among the computed polymorphs = 2.57 kcal/mol of atoms
raw formation energy = 0.482 eV/atom
total energy = -198.91 eV per cell

Cell: 3.0578 5.3637 5.3637 Å, 113.25 99.44 99.44°
Last column: nearest neighbours and their distance in Å.
Positions (direct):
Ta: 0.0000 0.5000 0.0000  2 Te 2.86, 2 Cd 2.86, 4 Ta 2.95-3.06
Ta: 0.0000 0.0000 0.5000  2 Cd 2.86, 2 Te 2.86, 4 Ta 2.95-3.06
Te: 0.5000 0.0000 0.0000  4 Ta 2.86, 2 Cd 2.95, 2 Te 3.06
Cd: 0.5000 0.5000 0.5000  4 Ta 2.86, 2 Te 2.95, 2 Cd 3.06

10.
The following is a DFT calculation (meta-GGA SCAN) of a PBEsol-optimized structure of Ta4CdTe.

Output
raw formation energy = 0.490 eV/atom
total energy = -331.06 eV per cell

Cell: 5.5183 5.5183 5.5183 Å, 60.00 60.00 60.00°
Last column: nearest neighbours and their distance in Å.
Positions (direct):
Ta: 0.3735 0.3735 0.8795  6 Ta 2.73-2.79
Ta: 0.8795 0.3735 0.3735  6 Ta 2.73-2.79
Ta: 0.3735 0.8795 0.3735  6 Ta 2.73-2.79
Ta: 0.3735 0.3735 0.3735  6 Ta 2.73-2.79
Cd: 0.0000 0.0000 0.0000  12 Ta 3.23, 4 Te 3.38
Te: 0.7500 0.7500 0.7500  12 Ta 3.24, 4 Cd 3.38

11.
The following is a DFT calculation (meta-GGA SCAN) of a PBEsol-optimized structure of TaTlCd2.

Output
relative energy among the computed polymorphs = 4.80 kcal/mol of atoms
total energy = -197.53 eV per cell
energy of formation from the pure elements = 2.24 eV/f.u.

Cell: 4.1570 4.1570 5.5024 Å, 112.19 112.19 90.00°
Last column: nearest neighbours and their distance in Å.
Positions (direct):
Cd: 0.0000 0.0000 0.0000  4 Ta 2.94, 4 Tl 3.12, 4 Cd 3.12
Cd: 0.7500 0.2500 0.5000  4 Tl 2.94, 4 Cd 3.12, 4 Ta 3.12
Tl: 0.2500 0.7500 0.5000  8 Cd 2.94-3.12, 4 Ta 3.12
Ta: 0.5000 0.5000 0.0000  8 Cd 2.94-3.12, 4 Tl 3.12

12.
The following is a DFT calculation (meta-GGA SCAN) of a PBEsol-optimized structure of TaTlCd2.

Output
relative energy among the computed polymorphs = 1.85 kcal/mol of atoms
total energy = -198.05 eV per cell
energy of formation from the pure elements = 1.72 eV/f.u.

Cell: 2.9982 4.9197 5.5479 Å, 90.00 90.00 90.00°
Last column: nearest neighbours and their distance in Å.
Positions (direct):
Cd: 0.0000 0.5000 0.7106  4 Cd 3.00, 4 Tl 3.01-3.30, 4 Ta 3.05
Cd: 0.0000 0.0000 0.0185  4 Cd 3.00, 4 Ta 3.09-3.22, 4 Tl 3.13
Ta: 0.5000 0.0000 0.5314  2 Tl 2.94, 2 Ta 3.00, 8 Cd 3.05-3.22
Tl: 0.5000 0.5000 0.2395  2 Ta 2.94, 2 Tl 3.00, 8 Cd 3.01-3.30